1.
## PaTl2Te5 (PBE)

Data for an optimized crystal structure of PaTl2Te5.

```
data_PaTl2Te5
_cell_length_a 17.726
_cell_length_b 6.222
_cell_length_c 8.922
_cell_angle_alpha 90.00
_cell_angle_beta 120.05
_cell_angle_gamma 90.00
_symmetry_space_group_name_H-M 'C 1 m 1'
_symmetry_Int_Tables_number 8
loop_
_symmetry_equiv_pos_as_xyz
'x,y,z'
'x,-y,z'
'x+1/2,y+1/2,z'
'x+1/2,-y+1/2,z'
loop_
_atom_site_label
_atom_site_fract_x
_atom_site_fract_y
_atom_site_fract_z
Pa1 0.000 0.000 0.000
Tl1 0.213 0.500 0.211
Tl2 0.223 0.000 0.722
Te1 0.074 0.257 0.326
Te2 0.074 0.257 0.821
Te3 0.314 0.500 0.816
```

Values from the calculation:
As for the uncorrected formation energy: -0.27 eV per atom. For the total DFT energy (no corrections), the calculation gives -4.0128 eV/atom. The density of states at the Fermi level is 0.33 states/eV/atom.

***

2.
## Pr2AgSb4 (PBE)

Data for an optimized crystal structure of Pr2AgSb4.

```
data_Pr2AgSb4
_cell_length_a 4.495
_cell_length_b 4.495
_cell_length_c 9.956
_cell_angle_alpha 90.00
_cell_angle_beta 90.00
_cell_angle_gamma 90.00
_symmetry_space_group_name_H-M 'P -4 m 2'
_symmetry_Int_Tables_number 115
loop_
_symmetry_equiv_pos_as_xyz
'x,y,z'
'y,-x,-z'
'-x,-y,z'
'-y,x,-z'
'-x,y,z'
'-y,-x,-z'
'x,-y,z'
'y,x,-z'
loop_
_atom_site_label
_atom_site_fract_x
_atom_site_fract_y
_atom_site_fract_z
Pr1 0.000 0.500 0.246
Ag1 0.500 0.500 0.000
Sb1 0.000 0.000 0.500
Sb2 0.000 0.500 0.841
Sb3 0.500 0.500 0.500
```

Values from the calculation:
As for the uncorrected formation energy: -0.69 eV per atom. For the total DFT energy (no corrections), the calculation gives -4.8141 eV/atom. The density of states at the Fermi level is 0.49 states/eV/atom.

***

3.
## LiLaPmAl (PBE)

Data for an optimized crystal structure of LiLaPmAl.

```
data_LiLaPmAl
_cell_length_a 7.558
_cell_length_b 7.558
_cell_length_c 7.558
_cell_angle_alpha 90.00
_cell_angle_beta 90.00
_cell_angle_gamma 90.00
_symmetry_space_group_name_H-M 'F -4 3 m'
_symmetry_Int_Tables_number 216
_symmetry_space_group_name_Hall 'F -4 2 3'
loop_
_atom_site_label
_atom_site_fract_x
_atom_site_fract_y
_atom_site_fract_z
Li1 0.000 0.000 0.000
La1 0.250 0.250 0.750
Pm1 0.250 0.250 0.250
Al1 0.000 0.000 0.500
```

Values from the calculation:
The value obtained for the formation energy from the elements is -0.76 eV per formula unit. For the total DFT energy (no corrections), the calculation gives -4.0235 eV/atom. The density of states at the Fermi level is 1.07 states/eV/atom.

***

4.
## MgSi2Ir (PBE)

Data for an optimized crystal structure of MgSi2Ir.

```
data_MgSi2Ir
_cell_length_a 3.0149
_cell_length_b 3.0149
_cell_length_c 24.0735
_cell_angle_alpha 90.00
_cell_angle_beta 90.00
_cell_angle_gamma 120.00
_symmetry_space_group_name_H-M 'R -3 m'
_symmetry_Int_Tables_number 166
_symmetry_space_group_name_Hall '-R 3 2"'
loop_
_atom_site_label
_atom_site_fract_x
_atom_site_fract_y
_atom_site_fract_z
Mg1 0.0000 0.0000 0.0000
Si1 0.0000 0.0000 0.2418
Ir1 0.0000 0.0000 0.5000
```

Values from the calculation:
As for the uncorrected formation energy: -0.12 eV per atom. For the total DFT energy (no corrections), the calculation gives -5.4484 eV/atom. The density of states at the Fermi level is 0.90 states/eV/atom.

***

5.
## Sr2Ca4Sb3F2 (PBE)

Data for an optimized crystal structure of Sr2Ca4Sb3F2.

```
data_Sr2Ca4Sb3F2
_cell_length_a 4.861
_cell_length_b 4.861
_cell_length_c 25.763
_cell_angle_alpha 90.00
_cell_angle_beta 90.00
_cell_angle_gamma 90.00
_symmetry_space_group_name_H-M 'I 4/m m m'
_symmetry_Int_Tables_number 139
_symmetry_space_group_name_Hall '-I 4 2'
loop_
_atom_site_label
_atom_site_fract_x
_atom_site_fract_y
_atom_site_fract_z
Sr1 0.000 0.000 0.199
Ca1 0.000 0.500 0.080
Sb1 0.000 0.000 0.331
Sb2 0.000 0.000 0.500
F1 0.000 0.000 0.091
```

Values from the calculation:
As for the uncorrected formation energy: -1.75 eV per atom. For the total DFT energy (no corrections), the calculation gives -4.2464 eV/atom. The density of states at the Fermi level is 0.47 states/eV/atom.

***

6.
## ReB3Os (PBE)

Data for an optimized crystal structure of ReB3Os.

```
data_ReB3Os
_cell_length_a 4.020
_cell_length_b 4.020
_cell_length_c 4.020
_cell_angle_alpha 90.00
_cell_angle_beta 90.00
_cell_angle_gamma 90.00
_symmetry_space_group_name_H-M 'P m -3 m'
_symmetry_Int_Tables_number 221
_symmetry_space_group_name_Hall '-P 4 2 3'
loop_
_atom_site_label
_atom_site_fract_x
_atom_site_fract_y
_atom_site_fract_z
Re1 0.000 0.000 0.000
B1 0.000 0.000 0.500
Os1 0.500 0.500 0.500
```

Values from the calculation:
Its relative energy among the computed polymorphs is 92 meV/atom. The value obtained for the formation energy from the elements is 8.75 eV per formula unit. For the total DFT energy (no corrections), the calculation gives -6.9918 eV/atom. The density of states at the Fermi level is 0.34 states/eV/atom.

***

What is the formula in the first record? PaTl2Te5